# 1
VASP calculation (PBEsol) on crystalline YGa3Cu at its relaxed geometry.

Cell: 4.0243 4.0243 10.5704 Å, 90.00 90.00 90.00°
Space group I-4m2 (No. 119)
Inequivalent atoms, fractional coordinates:
Y 0.0000 0.0000 0.0000 x2
Ga 0.0000 0.0000 0.3863 x4
Ga 0.0000 0.5000 0.7500 x2
Cu 0.0000 0.5000 0.2500 x2

## Properties
The density of states at the Fermi level is 1.07 states/eV/f.u. The calculation puts the formation enthalpy at 0 K at -0.52 eV per atom.


# 2
VASP calculation (PBEsol) on crystalline KBiF6 at its relaxed geometry.

Cell: 10.3729 10.3729 10.3729 Å, 90.00 90.00 90.00°
Space group Ia-3 (No. 206)
Inequivalent atoms, fractional coordinates:
K 0.2500 0.2500 0.2500 x8
Bi 0.0000 0.0000 0.0000 x8
F 0.0601 0.1125 0.6485 x48

## Properties
The density of states at the Fermi level is 0.00 states/eV/f.u. The uncorrected formation energy comes out at -2.203 eV/atom.


# 3
VASP calculation (PBEsol) on crystalline TaTe4Ir at its relaxed geometry.

Cell: 3.7627 12.4223 13.1239 Å, 90.00 90.00 90.00°
Space group Pmn2_1 (No. 31)
Inequivalent atoms, fractional coordinates:
Ta 0.0000 0.0552 0.0000 x2
Ta 0.0000 0.2706 0.4854 x2
Te 0.0000 0.0658 0.3852 x2
Te 0.0000 0.1932 0.8455 x2
Te 0.0000 0.3452 0.0898 x2
Te 0.0000 0.4142 0.6350 x2
Te 0.0000 0.5648 0.3900 x2
Te 0.0000 0.6771 0.8396 x2
Te 0.0000 0.8497 0.1027 x2
Te 0.0000 0.8926 0.6457 x2
Ir 0.0000 0.5366 0.9946 x2
Ir 0.0000 0.7562 0.4859 x2

## Properties
The density of states at the Fermi level is 1.14 states/eV/f.u. As for the energy above the most stable polymorph in this dataset: 0.00 eV/f.u. The uncorrected formation energy comes out at -0.358 eV/atom.


# 4
VASP calculation (PBEsol) on crystalline NiP at its relaxed geometry.

Cell: 10.0789 5.8437 4.8965 Å, 90.00 90.00 90.00°
Space group Cmc2_1 (No. 36)
Inequivalent atoms, fractional coordinates:
Ni 0.0000 0.0561 0.0000 x4
Ni 0.1459 0.4434 0.9708 x8
P 0.0000 0.3112 0.6570 x4
P 0.1615 0.1842 0.3057 x8

## Properties
The density of states at the Fermi level is 0.85 states/eV/f.u. The calculation puts the formation enthalpy at 0 K at -0.50 eV per atom.


# 5
VASP calculation (PBEsol) on crystalline TcTe2Pt at its relaxed geometry.

Cell: 3.2679 5.2092 9.0430 Å, 90.00 90.00 90.00°
Space group Cmmm (No. 65)
Inequivalent atoms, fractional coordinates:
Tc 0.0000 0.0000 0.0000 x2
Te 0.0000 0.5000 0.2378 x4
Pt 0.0000 0.0000 0.5000 x2

## Properties
The density of states at the Fermi level is 4.21 states/eV/f.u. As for the energy above the most stable polymorph in this dataset: 1.79 eV/f.u. The uncorrected formation energy comes out at 0.612 eV/atom.


# 6
VASP calculation (PBEsol) on crystalline AlNiMo2 at its relaxed geometry.

Cell: 3.5779 3.6970 8.2988 Å, 90.00 90.00 90.00°
Space group Immm (No. 71)
Inequivalent atoms, fractional coordinates:
Al 0.0000 0.0000 0.0000 x2
Ni 0.0000 0.0000 0.5000 x2
Mo 0.0000 0.5000 0.2495 x4

## Properties
The density of states at the Fermi level is 1.51 states/eV/f.u. The calculation puts the formation enthalpy at 0 K at -0.19 eV per atom.


# 7
VASP calculation (PBEsol) on crystalline K2GeSF at its relaxed geometry.

Cell: 6.1448 6.1448 3.9864 Å, 90.00 90.00 90.00°
Space group P4/mmm (No. 123)
Inequivalent atoms, fractional coordinates:
K 0.0000 0.5000 0.0000 x2
Ge 0.0000 0.0000 0.5000 x1
S 0.5000 0.5000 0.0000 x1
F 0.5000 0.5000 0.5000 x1

## Properties
The density of states at the Fermi level is 0.96 states/eV/f.u. The uncorrected formation energy comes out at -0.303 eV/atom.


# 8
VASP calculation (PBEsol) on crystalline Ca2CuNi2 at its relaxed geometry.

Cell: 5.2973 5.2973 6.9450 Å, 90.00 90.00 90.00°
Space group I4/mmm (No. 139)
Inequivalent atoms, fractional coordinates:
Ca 0.0000 0.5000 0.2500 x4
Cu 0.0000 0.0000 0.0000 x2
Ni 0.0000 0.0000 0.3383 x4

## Properties
The density of states at the Fermi level is 2.18 states/eV/f.u. The calculation puts the formation enthalpy at 0 K at 0.19 eV per atom.


# 9
VASP calculation (PBEsol) on crystalline CrBr2N at its relaxed geometry.

Cell: 9.3055 9.3055 3.5576 Å, 90.00 90.00 90.00°
Space group I-42d (No. 122)
Inequivalent atoms, fractional coordinates:
Cr 0.0000 0.0000 0.0000 x4
Br 0.0920 0.2500 0.1250 x8
N 0.0000 0.0000 0.5000 x4

## Properties
The density of states at the Fermi level is 1.27 states/eV/f.u. The uncorrected formation energy comes out at -0.050 eV/atom.


# 10
VASP calculation (PBEsol) on crystalline MnSbRu2 at its relaxed geometry.

Cell: 3.1346 3.1346 6.0097 Å, 90.00 90.00 90.00°
Space group P4/mmm (No. 123)
Inequivalent atoms, fractional coordinates:
Mn 0.0000 0.0000 0.0000 x1
Sb 0.0000 0.0000 0.5000 x1
Ru 0.5000 0.5000 0.2415 x2

## Properties
The density of states at the Fermi level is 3.46 states/eV/f.u. The uncorrected formation energy comes out at 0.130 eV/atom.


# 11
VASP calculation (PBEsol) on crystalline La2ScSn2 at its relaxed geometry.

Cell: 7.8483 7.8483 4.7223 Å, 90.00 90.00 90.00°
Space group P4/mbm (No. 127)
Inequivalent atoms, fractional coordinates:
La 0.1722 0.3278 0.0000 x4
Sc 0.0000 0.0000 0.5000 x2
Sn 0.1327 0.6327 0.5000 x4

## Properties
The density of states at the Fermi level is 4.44 states/eV/f.u. The calculation puts the formation enthalpy at 0 K at -0.74 eV per atom.


# 12
VASP calculation (PBEsol) on crystalline CsGa3Re at its relaxed geometry.

Cell: 5.5270 5.5270 5.5270 Å, 90.00 90.00 90.00°
Space group Pm-3m (No. 221)
Inequivalent atoms, fractional coordinates:
Cs 0.0000 0.0000 0.0000 x1
Ga 0.0000 0.0000 0.5000 x3
Re 0.5000 0.5000 0.5000 x1

## Properties
The density of states at the Fermi level is 5.98 states/eV/f.u. The calculation puts the formation enthalpy at 0 K at 2.58 eV per atom.


# 13
VASP calculation (PBEsol) on crystalline TmFe4Si2 at its relaxed geometry.

Cell: 6.9359 6.9359 3.6823 Å, 90.00 90.00 90.00°
Space group P4_2/mnm (No. 136)
Inequivalent atoms, fractional coordinates:
Tm 0.0000 0.0000 0.0000 x2
Fe 0.0856 0.3538 0.5000 x8
Si 0.2187 0.7813 0.5000 x4

## Properties
The density of states at the Fermi level is 5.16 states/eV/f.u. The uncorrected formation energy comes out at -0.541 eV/atom.


# 14
VASP calculation (PBEsol) on crystalline RbY3Ag at its relaxed geometry.

Cell: 5.2878 5.2878 5.2878 Å, 90.00 90.00 90.00°
Space group Pm-3m (No. 221)
Inequivalent atoms, fractional coordinates:
Rb 0.0000 0.0000 0.0000 x1
Y 0.0000 0.0000 0.5000 x3
Ag 0.5000 0.5000 0.5000 x1

## Properties
The density of states at the Fermi level is 4.14 states/eV/f.u. The calculation puts the formation enthalpy at 0 K at 1.37 eV per atom.


# 15
VASP calculation (PBEsol) on crystalline YZrSc at its relaxed geometry.

Cell: 3.2765 3.2765 13.9661 Å, 90.00 90.00 90.00°
Space group I4mm (No. 107)
Inequivalent atoms, fractional coordinates:
Y 0.0000 0.0000 0.0000 x2
Zr 0.0000 0.0000 0.3328 x2
Sc 0.0000 0.0000 0.6836 x2

## Properties
The density of states at the Fermi level is 4.43 states/eV/f.u. As for the energy above the most stable polymorph in this dataset: 0.00 eV/f.u. The calculation puts the formation enthalpy at 0 K at 0.07 eV per atom.


# 16
VASP calculation (PBEsol) on crystalline Rb2MoI6O18 at its relaxed geometry.

Cell: 11.4049 11.4049 11.2354 Å, 90.00 90.00 120.00°
Space group R-3 (No. 148, hexagonal axes)
Inequivalent atoms, fractional coordinates:
Rb 0.0000 0.0000 0.1682 x6
Mo 0.0000 0.0000 0.5000 x3
I 0.0167 0.3991 0.2774 x18
O 0.0452 0.5773 0.8667 x18
O 0.0683 0.5413 0.6230 x18
O 0.0694 0.1600 0.6054 x18

## Properties
The density of states at the Fermi level is 7.20 states/eV/f.u. The uncorrected formation energy comes out at -0.739 eV/atom.


# 17
VASP calculation (PBEsol) on crystalline BeZnBr3 at its relaxed geometry.

Cell: 4.7618 4.7618 4.7618 Å, 90.00 90.00 90.00°
Space group Pm-3m (No. 221)
Inequivalent atoms, fractional coordinates:
Be 0.0000 0.0000 0.0000 x1
Zn 0.5000 0.5000 0.5000 x1
Br 0.0000 0.0000 0.5000 x3

## Properties
The density of states at the Fermi level is 1.76 states/eV/f.u. The uncorrected formation energy comes out at -0.203 eV/atom.


# 18
VASP calculation (PBEsol) on crystalline TmAs at its relaxed geometry.

Cell: 5.6636 5.6636 5.6636 Å, 90.00 90.00 90.00°
Space group Fm-3m (No. 225)
Inequivalent atoms, fractional coordinates:
Tm 0.0000 0.0000 0.0000 x4
As 0.0000 0.0000 0.5000 x4

## Properties
The density of states at the Fermi level is 0.26 states/eV/f.u. The calculation puts the formation enthalpy at 0 K at -1.53 eV per atom.


# 19
VASP calculation (PBEsol) on crystalline Ca2Au3 at its relaxed geometry.

Cell: 4.6141 4.6141 19.2540 Å, 90.00 90.00 120.00°
Space group R-3m (No. 166, hexagonal axes)
Inequivalent atoms, fractional coordinates:
Ca 0.0000 0.0000 0.0902 x6
Au 0.0000 0.0000 0.3485 x6
Au 0.0000 0.0000 0.5000 x3

## Properties
The density of states at the Fermi level is 1.85 states/eV/f.u. The calculation puts the formation enthalpy at 0 K at -0.65 eV per atom.


# 20
VASP calculation (PBEsol) on crystalline KReBr2 at its relaxed geometry.

Cell: 5.0526 5.0526 3.1737 Å, 90.00 90.00 90.00°
Space group P4/mmm (No. 123)
Inequivalent atoms, fractional coordinates:
K 0.0000 0.0000 0.0000 x1
Re 0.5000 0.5000 0.0000 x1
Br 0.0000 0.5000 0.5000 x2

## Properties
The density of states at the Fermi level is 3.92 states/eV/f.u. The uncorrected formation energy comes out at 0.565 eV/atom.


# 21
VASP calculation (PBEsol) on crystalline Li2BiBSb at its relaxed geometry.

Cell: 5.2095 5.2095 4.4992 Å, 90.00 90.00 90.00°
Space group P4/mmm (No. 123)
Inequivalent atoms, fractional coordinates:
Li 0.0000 0.5000 0.0000 x2
Bi 0.0000 0.0000 0.0000 x1
B 0.0000 0.0000 0.5000 x1
Sb 0.5000 0.5000 0.5000 x1

## Properties
The density of states at the Fermi level is 3.10 states/eV/f.u. The uncorrected formation energy comes out at 0.834 eV/atom.


# 22
VASP calculation (PBEsol) on crystalline BeTlP2S at its relaxed geometry.

Cell: 5.0345 5.0345 5.0116 Å, 90.00 90.00 90.00°
Space group P4/mmm (No. 123)
Inequivalent atoms, fractional coordinates:
Be 0.0000 0.0000 0.0000 x1
Tl 0.5000 0.5000 0.5000 x1
P 0.0000 0.5000 0.5000 x2
S 0.5000 0.5000 0.0000 x1

## Properties
The density of states at the Fermi level is 5.76 states/eV/f.u. The uncorrected formation energy comes out at 1.736 eV/atom.


# 23
VASP calculation (PBEsol) on crystalline VRh at its relaxed geometry.

Cell: 2.7016 2.7016 3.6019 Å, 90.00 90.00 90.00°
Space group P4/mmm (No. 123)
Inequivalent atoms, fractional coordinates:
V 0.0000 0.0000 0.0000 x1
Rh 0.5000 0.5000 0.5000 x1

## Properties
The density of states at the Fermi level is 2.06 states/eV/f.u. The calculation puts the formation enthalpy at 0 K at -0.37 eV per atom.


# 24
VASP calculation (PBEsol) on crystalline MgGa2 at its relaxed geometry.

Cell: 5.3858 5.3858 5.0624 Å, 90.00 90.00 90.00°
Space group P4_2/mnm (No. 136)
Inequivalent atoms, fractional coordinates:
Mg 0.0000 0.0000 0.0000 x2
Ga 0.1620 0.1620 0.5000 x4

## Properties
The density of states at the Fermi level is 1.45 states/eV/f.u. The calculation puts the formation enthalpy at 0 K at 0.35 eV per atom.